Ca2AgHRh after structural relaxation. Source: Alexandria via LeMat-Bulk, functional PBE.

Computed properties:
Energy relative to the lowest polymorph listed for this composition ... 166 meV/atom
Fermi-level density of states ... 1.28 states/eV per cell

Lattice parameters (Å, degrees): 4.823 4.823 3.901 90.00 90.00 90.00
Space group P4/mmm (No. 123)
Asymmetric unit:
Ca: 0.000 0.500 0.000 (multiplicity 2)
Ag: 0.000 0.000 0.500 (multiplicity 1)
H: 0.000 0.000 0.000 (multiplicity 1)
Rh: 0.500 0.500 0.500 (multiplicity 1)

CaAg2H8Rh3 after structural relaxation. Source: Alexandria via LeMat-Bulk, functional PBE.

Computed properties:
DFT total energy ... -176.22 eV for the cell shown
Fermi-level density of states ... 10.80 states/eV per cell

Lattice parameters (Å, degrees): 5.7836 5.7836 14.3460 90.00 90.00 120.00
Space group R3m (No. 160, hexagonal axes)
Asymmetric unit:
Ca: 0.0000 0.0000 0.0000 (multiplicity 3)
Ag: 0.0000 0.0000 0.3794 (multiplicity 3)
Ag: 0.0000 0.0000 0.7409 (multiplicity 3)
H: 0.0000 0.0000 0.1564 (multiplicity 3)
H: 0.0000 0.0000 0.6044 (multiplicity 3)
H: 0.0086 0.5043 0.1585 (multiplicity 9)
H: 0.1970 0.3941 0.9326 (multiplicity 9)
Rh: 0.1678 0.3355 0.2089 (multiplicity 9)

Ca4AgH12Rh3 after structural relaxation. Source: Alexandria via LeMat-Bulk, functional PBE.

Computed properties:
DFT total energy ... -167.21 eV for the cell shown
Fermi-level density of states ... 4.01 states/eV per cell

Lattice parameters (Å, degrees): 7.405 7.405 7.405 90.00 90.00 90.00
Space group Im-3m (No. 229)
Asymmetric unit:
Ca: 0.250 0.250 0.250 (multiplicity 8)
Ag: 0.000 0.000 0.000 (multiplicity 2)
H: 0.000 0.000 0.268 (multiplicity 12)
H: 0.000 0.250 0.500 (multiplicity 12)
Rh: 0.000 0.000 0.500 (multiplicity 6)

Ca2AgHRh after structural relaxation. Source: Alexandria via LeMat-Bulk, functional PBE.

Computed properties:
Energy relative to the lowest polymorph listed for this composition ... 0 meV/atom
Fermi-level density of states ... 1.65 states/eV per cell

Lattice parameters (Å, degrees): 5.032 5.032 3.658 90.00 90.00 90.00
Space group P4/mmm (No. 123)
Asymmetric unit:
Ca: 0.000 0.500 0.000 (multiplicity 2)
Ag: 0.000 0.000 0.500 (multiplicity 1)
H: 0.500 0.500 0.000 (multiplicity 1)
Rh: 0.500 0.500 0.500 (multiplicity 1)

Ca2AgH6Rh after structural relaxation. Source: Alexandria via LeMat-Bulk, functional PBE.

Computed properties:
DFT total energy ... -37.58 eV for the cell shown
Fermi-level density of states ... 2.61 states/eV per cell

Lattice parameters (Å, degrees): 5.0402 5.0402 5.3135 90.00 90.00 120.00
Space group P-3m1 (No. 164)
Asymmetric unit:
Ca: 0.3333 0.6667 0.2872 (multiplicity 2)
Ag: 0.0000 0.0000 0.0000 (multiplicity 1)
H: 0.1655 0.3311 0.6896 (multiplicity 6)
Rh: 0.0000 0.0000 0.5000 (multiplicity 1)

Ca2AgH6Ru after structural relaxation. Source: Alexandria via LeMat-Bulk, functional PBE.

Computed properties:
DFT total energy ... -39.90 eV for the cell shown
Fermi-level density of states ... 1.50 states/eV per cell

Lattice parameters (Å, degrees): 5.0033 5.0033 5.4578 90.00 90.00 120.00
Space group P-3m1 (No. 164)
Asymmetric unit:
Ca: 0.3333 0.6667 0.2020 (multiplicity 2)
Ag: 0.0000 0.0000 0.5000 (multiplicity 1)
H: 0.1659 0.3318 0.8218 (multiplicity 6)
Ru: 0.0000 0.0000 0.0000 (multiplicity 1)

CaAg2HRu after structural relaxation. Source: Alexandria via LeMat-Bulk, functional PBE.

Computed properties:
DFT total energy ... -18.64 eV for the cell shown
Fermi-level density of states ... 3.49 states/eV per cell

Lattice parameters (Å, degrees): 4.119 4.119 4.600 90.00 90.00 90.00
Space group P4/mmm (No. 123)
Asymmetric unit:
Ca: 0.000 0.000 0.000 (multiplicity 1)
Ag: 0.000 0.500 0.500 (multiplicity 2)
H: 0.000 0.000 0.500 (multiplicity 1)
Ru: 0.500 0.500 0.000 (multiplicity 1)

CaAg2SbH after structural relaxation. Source: Alexandria via LeMat-Bulk, functional PBE.

Computed properties:
DFT total energy ... -16.34 eV for the cell shown
Fermi-level density of states ... 1.54 states/eV per cell

Lattice parameters (Å, degrees): 4.438 4.438 4.731 90.00 90.00 90.00
Space group P4/mmm (No. 123)
Asymmetric unit:
Ca: 0.000 0.000 0.000 (multiplicity 1)
Ag: 0.000 0.500 0.500 (multiplicity 2)
Sb: 0.500 0.500 0.000 (multiplicity 1)
H: 0.000 0.000 0.500 (multiplicity 1)

The lowest Fermi-level density of states belongs to which entry? number 1